Record 1
First-principles (PBE-GGA) data for crystalline CdOsBr3 at its relaxed geometry, as listed in Alexandria.

a = 5.465 Å, b = 5.465 Å, c = 5.465 Å
α = 90.00°, β = 90.00°, γ = 90.00°
Space group Pm-3m (No. 221)
Symmetry-distinct sites (fractional):
Cd 0.000 0.000 0.000 [1 per cell]
Os 0.500 0.500 0.500 [1 per cell]
Br 0.000 0.000 0.500 [3 per cell]

Properties
Magnetization, μB/f.u.: 5.01
DFT total energy, Ha/atom: -0.091
Offset from the most stable computed form, meV/atom: 580
ΔE_f (raw), eV/atom: 0.96

***

Record 2
First-principles (PBE-GGA) data for crystalline Cd2OsBr at its relaxed geometry, as listed in Alexandria.

a = 3.2945 Å, b = 3.2945 Å, c = 26.4460 Å
α = 90.00°, β = 90.00°, γ = 120.00°
Space group R-3m (No. 166, hexagonal axes)
Symmetry-distinct sites (fractional):
Cd 0.0000 0.0000 0.2446 [6 per cell]
Os 0.0000 0.0000 0.5000 [3 per cell]
Br 0.0000 0.0000 0.0000 [3 per cell]

Properties
Magnetization, μB/f.u.: 0.56
DFT total energy, Ha/atom: -0.116
Offset from the most stable computed form, meV/atom: 97
ΔE_f (raw), eV/atom: 0.53

***

Record 3
First-principles (PBE-GGA) data for crystalline Cd2OsBr at its relaxed geometry, as listed in Alexandria.

a = 2.691 Å, b = 4.884 Å, c = 8.325 Å
α = 90.00°, β = 90.00°, γ = 90.00°
Space group Pmm2 (No. 25)
Symmetry-distinct sites (fractional):
Cd 0.000 0.000 0.000 [1 per cell]
Cd 0.500 0.500 0.359 [1 per cell]
Os 0.000 0.000 0.319 [1 per cell]
Br 0.500 0.500 0.768 [1 per cell]

Properties
Magnetization, μB/f.u.: 0.00
DFT total energy, Ha/atom: -0.110
Offset from the most stable computed form, meV/atom: 248
ΔE_f (raw), eV/atom: 0.68

***

Record 4
First-principles (PBE-GGA) data for crystalline Cd2OsBr at its relaxed geometry, as listed in Alexandria.

a = 3.0463 Å, b = 3.0463 Å, c = 31.7972 Å
α = 90.00°, β = 90.00°, γ = 120.00°
Space group R3m (No. 160, hexagonal axes)
Symmetry-distinct sites (fractional):
Cd 0.0000 0.0000 0.0000 [3 per cell]
Cd 0.0000 0.0000 0.2441 [3 per cell]
Os 0.0000 0.0000 0.7391 [3 per cell]
Br 0.0000 0.0000 0.4658 [3 per cell]

Properties
Magnetization, μB/f.u.: 0.00
DFT total energy, Ha/atom: -0.114
Offset from the most stable computed form, meV/atom: 157
ΔE_f (raw), eV/atom: 0.59

***

Record 5
First-principles (PBE-GGA) data for crystalline Cd2OsBr at its relaxed geometry, as listed in Alexandria.

a = 5.375 Å, b = 5.375 Å, c = 2.838 Å
α = 90.00°, β = 90.00°, γ = 90.00°
Space group P4/mmm (No. 123)
Symmetry-distinct sites (fractional):
Cd 0.000 0.500 0.000 [2 per cell]
Os 0.000 0.000 0.500 [1 per cell]
Br 0.500 0.500 0.500 [1 per cell]

Properties
Magnetization, μB/f.u.: 0.29
DFT total energy, Ha/atom: -0.110
Offset from the most stable computed form, meV/atom: 247
ΔE_f (raw), eV/atom: 0.68

***

Record 6
First-principles (PBE-GGA) data for crystalline Cd2OsBr at its relaxed geometry, as listed in Alexandria.

a = 3.211 Å, b = 3.241 Å, c = 8.018 Å
α = 90.00°, β = 90.00°, γ = 90.00°
Space group Pmmm (No. 47)
Symmetry-distinct sites (fractional):
Cd 0.000 0.000 0.217 [2 per cell]
Os 0.500 0.500 0.000 [1 per cell]
Br 0.500 0.500 0.500 [1 per cell]

Properties
Magnetization, μB/f.u.: 1.03
DFT total energy, Ha/atom: -0.118
Offset from the most stable computed form, meV/atom: 51
ΔE_f (raw), eV/atom: 0.48

***

Record 7
First-principles (PBE-GGA) data for crystalline Cd2OsBr at its relaxed geometry, as listed in Alexandria.

a = 2.921 Å, b = 4.483 Å, c = 13.268 Å
α = 90.00°, β = 90.00°, γ = 90.00°
Space group Immm (No. 71)
Symmetry-distinct sites (fractional):
Cd 0.000 0.000 0.189 [4 per cell]
Os 0.000 0.500 0.500 [2 per cell]
Br 0.000 0.500 0.000 [2 per cell]

Properties
Magnetization, μB/f.u.: 0.00
DFT total energy, Ha/atom: -0.111
Offset from the most stable computed form, meV/atom: 241
ΔE_f (raw), eV/atom: 0.67

***

Record 8
First-principles (PBE-GGA) data for crystalline Cd2OsBr at its relaxed geometry, as listed in Alexandria.

a = 3.077 Å, b = 3.077 Å, c = 8.888 Å
α = 90.00°, β = 90.00°, γ = 90.00°
Space group P4mm (No. 99)
Symmetry-distinct sites (fractional):
Cd 0.000 0.000 0.000 [1 per cell]
Cd 0.500 0.500 0.270 [1 per cell]
Os 0.000 0.000 0.485 [1 per cell]
Br 0.500 0.500 0.668 [1 per cell]

Properties
Magnetization, μB/f.u.: 0.00
DFT total energy, Ha/atom: -0.109
Offset from the most stable computed form, meV/atom: 287
ΔE_f (raw), eV/atom: 0.72